Record 1
Material: Tl2WCl
Method: DFT, GGA-PBE
State: relaxed

D(E_F)   2.59 states/eV/cell
Energy above the lowest structure with this stoichiometry   735.4 meV/atom
E_form (uncorrected)   1.071 eV per atom

Cell and atoms, written as POSCAR:
```
Tl2WCl
1.0
4.3845 -2.4289 1.3406
0.3314 -5.1627 -0.3971
3.0048 -2.1335 -3.6524
Tl W Cl
2 1 1
Cartesian
5.7905 -7.2938 -2.0316
1.9302 -2.4313 -0.6772
3.8603 -4.8625 -1.3544
0.0000 0.0000 0.0000
```


Record 2
Material: Tl2W2Cl
Method: DFT, GGA-PBE
State: relaxed

D(E_F)   9.03 states/eV/cell
Energy above the lowest structure with this stoichiometry   0.0 meV/atom
E_form (uncorrected)   0.913 eV per atom

Cell and atoms, written as POSCAR:
```
Tl2W2Cl
1.0
8.3714 0.0000 0.0000
0.0000 8.3714 0.0000
0.0000 0.0000 3.1226
Cl W Tl
2 4 4
Cartesian
4.1857 4.1857 0.0000
0.0000 0.0000 0.0000
0.8480 3.3377 0.0000
5.0337 0.8480 0.0000
7.5233 5.0337 0.0000
3.3377 7.5233 0.0000
2.5835 1.6022 1.5613
1.6022 5.7878 1.5613
5.7878 6.7692 1.5613
6.7692 2.5835 1.5613
```


Record 3
Material: Tl4WCl
Method: DFT, GGA-PBE
State: relaxed

D(E_F)   3.28 states/eV/cell
E_form (uncorrected)   0.908 eV per atom

Cell and atoms, written as POSCAR:
```
Tl4WCl
1.0
6.0709 0.5632 1.6727
1.7305 -0.9881 6.0000
3.3509 -5.1419 1.5177
Tl Cl W
4 1 1
Cartesian
7.2173 -1.8060 4.2828
4.1823 -2.0876 3.4465
5.0474 -2.5816 6.4462
5.8575 -4.6582 4.2053
0.0000 0.0000 0.0000
8.3642 -4.1751 6.8928
```